(1)
This record from Alexandria via LeMat-Bulk describes a relaxed structure of MgGeBiI2. The functional is GGA-PBE.

Computed properties:
formation energy from raw total energies: 0.24 eV/atom
total energy: -2.401 eV/atom
crystal system: tetragonal

a = 5.662 Å, b = 5.847 Å, c = 5.662 Å
α = 90.00°, β = 90.00°, γ = 90.00°
Each line ends with the local moment (μB).
Sites, in units of the cell vectors:
I: 0.500 0.000 0.000  0.02
I: 0.000 0.000 0.500  0.03
Mg: 0.500 0.500 0.500  -0.02
Ge: 0.000 0.000 0.000  0.00
Bi: 0.000 0.500 0.000  0.28

***

(2)
This record from Alexandria via LeMat-Bulk describes a relaxed structure of GeBi2MoI. The functional is GGA-PBE.

Computed properties:
formation energy from raw total energies: 1.24 eV/atom
total energy: -3.715 eV/atom
crystal system: tetragonal

a = 5.561 Å, b = 5.538 Å, c = 5.561 Å
α = 90.00°, β = 90.00°, γ = 90.00°
Each line ends with the local moment (μB).
Sites, in units of the cell vectors:
Ge: 0.000 0.000 0.000  0.01
Bi: 0.000 0.000 0.500  -0.31
Bi: 0.500 0.000 0.000  -0.29
I: 0.000 0.500 0.000  -0.05
Mo: 0.500 0.500 0.500  3.68

***

(3)
This record from Alexandria via LeMat-Bulk describes a relaxed structure of NaGeBi2I. The functional is GGA-PBE.

Computed properties:
formation energy from raw total energies: 0.72 eV/atom
total energy: -2.325 eV/atom
crystal system: tetragonal

a = 5.582 Å, b = 5.653 Å, c = 5.582 Å
α = 90.00°, β = 90.00°, γ = 90.00°
Sites, in units of the cell vectors:
Ge: 0.500 0.500 0.500
Bi: 0.000 0.000 0.500
Bi: 0.500 0.000 0.000
Na: 0.000 0.000 0.000
I: 0.000 0.500 0.000

***

(4)
This record from Alexandria via LeMat-Bulk describes a relaxed structure of NbGeBiI2. The functional is GGA-PBE.

Computed properties:
formation energy from raw total energies: 0.60 eV/atom
total energy: -3.730 eV/atom
crystal system: tetragonal

a = 5.436 Å, b = 5.835 Å, c = 5.436 Å
α = 90.00°, β = 90.00°, γ = 90.00°
Each line ends with the local moment (μB).
Sites, in units of the cell vectors:
Nb: 0.000 0.000 0.000  0.86
I: 0.500 0.000 0.000  -0.02
I: 0.000 0.000 0.500  -0.01
Bi: 0.000 0.500 0.000  -0.19
Ge: 0.500 0.500 0.500  0.39

***

(5)
This record from Alexandria via LeMat-Bulk describes a relaxed structure of GeBiIO2. The functional is GGA-PBE.

Computed properties:
formation energy from raw total energies: 0.02 eV/atom
total energy: -3.968 eV/atom
crystal system: tetragonal
energy above the most stable polymorph in this dataset: 0.0637 eV/atom

a = 4.265 Å, b = 5.430 Å, c = 4.265 Å
α = 90.00°, β = 90.00°, γ = 90.00°
Sites, in units of the cell vectors:
O: 0.000 0.000 0.500
O: 0.500 0.000 0.000
I: 0.000 0.500 0.000
Bi: 0.500 0.500 0.500
Ge: 0.000 0.000 0.000

***

(6)
This record from Alexandria via LeMat-Bulk describes a relaxed structure of GeBiIO2. The functional is GGA-PBE.

Computed properties:
formation energy from raw total energies: -0.04 eV/atom
total energy: -4.032 eV/atom
crystal system: tetragonal
energy above the most stable polymorph in this dataset: 0.0000 eV/atom

a = 4.292 Å, b = 4.292 Å, c = 7.118 Å
α = 90.00°, β = 90.00°, γ = 90.00°
Each line ends with the local moment (μB).
Sites, in units of the cell vectors:
Ge: 0.500 0.500 0.500  0.39
Bi: 0.000 0.000 0.000  0.01
O: 0.000 0.500 0.000  0.02
O: 0.500 0.000 0.000  0.02
I: 0.000 0.000 0.500  -0.01

***

(7)
This record from Alexandria via LeMat-Bulk describes a relaxed structure of Rb2GeBiI6. The functional is GGA-PBE.

Computed properties:
formation energy from raw total energies: -0.74 eV/atom
total energy: -2.716 eV/atom
crystal system: tetragonal

a = 8.659 Å, b = 8.659 Å, c = 8.671 Å
α = 60.04°, β = 60.04°, γ = 90.00°
Sites, in units of the cell vectors:
I: 0.256 0.256 0.488
I: 0.744 0.744 0.000
I: 0.744 0.744 0.512
I: 0.256 0.744 0.000
I: 0.744 0.256 0.000
I: 0.256 0.256 0.000
Bi: 0.000 0.000 0.000
Rb: 0.250 0.750 0.500
Rb: 0.750 0.250 0.500
Ge: 0.500 0.500 0.000

***

(8)
This record from Alexandria via LeMat-Bulk describes a relaxed structure of GeBi2RuI. The functional is GGA-PBE.

Computed properties:
formation energy from raw total energies: 0.82 eV/atom
total energy: -3.822 eV/atom
crystal system: tetragonal

a = 5.670 Å, b = 4.717 Å, c = 5.670 Å
α = 90.00°, β = 90.00°, γ = 90.00°
Each line ends with the local moment (μB).
Sites, in units of the cell vectors:
I: 0.500 0.500 0.500  0.05
Ge: 0.000 0.000 0.000  -0.03
Bi: 0.500 0.000 0.000  -0.06
Bi: 0.000 0.000 0.500  -0.04
Ru: 0.000 0.500 0.000  1.22

***

(9)
This record from Alexandria via LeMat-Bulk describes a relaxed structure of GeBiS2I. The functional is GGA-PBE.

Computed properties:
formation energy from raw total energies: -0.29 eV/atom
total energy: -3.955 eV/atom
crystal system: monoclinic

a = 4.143 Å, b = 10.440 Å, c = 11.135 Å
α = 130.73°, β = 90.00°, γ = 90.00°
Sites, in units of the cell vectors:
S: 0.750 0.546 0.646
S: 0.250 0.404 0.818
S: 0.750 0.596 0.182
S: 0.250 0.454 0.354
Ge: 0.250 0.363 0.511
Ge: 0.750 0.637 0.489
I: 0.750 0.058 0.831
I: 0.250 0.942 0.169
Bi: 0.750 0.637 0.968
Bi: 0.250 0.363 0.032

***

(10)
This record from Alexandria via LeMat-Bulk describes a relaxed structure of GeBiSb2I. The functional is GGA-PBE.

Computed properties:
formation energy from raw total energies: 0.52 eV/atom
total energy: -3.135 eV/atom
crystal system: tetragonal
energy above the most stable polymorph in this dataset: 0.0000 eV/atom

a = 5.489 Å, b = 5.489 Å, c = 5.429 Å
α = 90.00°, β = 90.00°, γ = 90.00°
Sites, in units of the cell vectors:
Ge: 0.000 0.000 0.000
Bi: 0.500 0.500 0.500
Sb: 0.500 0.000 0.000
Sb: 0.000 0.500 0.000
I: 0.000 0.000 0.500

***

(11)
This record from Alexandria via LeMat-Bulk describes a relaxed structure of GeBiSbI2. The functional is GGA-PBE.

Computed properties:
formation energy from raw total energies: 0.40 eV/atom
total energy: -2.747 eV/atom
crystal system: tetragonal
energy above the most stable polymorph in this dataset: 0.0000 eV/atom

a = 5.509 Å, b = 5.509 Å, c = 5.775 Å
α = 90.00°, β = 90.00°, γ = 90.00°
Each line ends with the local moment (μB).
Sites, in units of the cell vectors:
Ge: 0.000 0.000 0.000  0.01
Bi: 0.500 0.500 0.500  0.13
Sb: 0.000 0.000 0.500  -0.02
I: 0.000 0.500 0.000  0.00
I: 0.500 0.000 0.000  0.00

***

(12)
This record from Alexandria via LeMat-Bulk describes a relaxed structure of GeBiSbI2. The functional is GGA-PBE.

Computed properties:
formation energy from raw total energies: 0.66 eV/atom
total energy: -2.483 eV/atom
crystal system: tetragonal
energy above the most stable polymorph in this dataset: 0.2641 eV/atom

a = 6.051 Å, b = 6.051 Å, c = 6.062 Å
α = 90.00°, β = 90.00°, γ = 90.00°
Each line ends with the local moment (μB).
Sites, in units of the cell vectors:
Ge: 0.500 0.500 0.500  0.42
Sb: 0.000 0.000 0.500  -0.33
Bi: 0.000 0.000 0.000  0.10
I: 0.500 0.000 0.000  -0.02
I: 0.000 0.500 0.000  -0.02

***

> total energy of number 11 (GeBiSbI2)?

-2.747 eV/atom

***

> Which formula does entry 11 have?

GeBiSbI2